A relaxed BaNi2O crystal. Source: the Alexandria database, functional PBE+U.

a = 4.387 Å, b = 4.387 Å, c = 4.387 Å
α = 60.00°, β = 60.00°, γ = 60.00°
Element x y z (fractional)
Ni 0.750 0.750 0.750
Ni 0.250 0.250 0.250
O 0.000 0.000 0.000
Ba 0.500 0.500 0.500

Computed properties:
excess energy over the best structure of this formula in the dataset	1204	meV per atom
total moment	0.00	μB per formula unit